VASP calculation (PBE) on a geometry-optimized LiPaTcPt structure.

Properties
- formation enthalpy at 0 K (eV per atom) = -0.370

Cell: 6.549 6.549 6.549 Å, 90.00 90.00 90.00°
Space group F-43m (No. 216)
Asymmetric unit:
Li: 0.000 0.000 0.000
Pa: 0.000 0.000 0.500
Tc: 0.250 0.250 0.250
Pt: 0.250 0.250 0.750